Hf2NiP, optimized geometry, DFT PBE; DFT total energy = -7.774 eV per atom; ΔE_f = 0.000 eV per atom
1.0
1.6864 0.9737 8.1231
-1.6864 0.9737 8.1231
0.0000 -1.9473 8.1231
Hf Ni P
2 1 1
Cartesian
0.0000 0.0000 2.4752
0.0000 0.0000 21.8943
0.0000 0.0000 0.0000
0.0000 0.0000 12.1847